Run A
YAsCl3 | PBE-GGA | relaxed Values from VASP.

Total magnetization   3.00 μB/f.u.
V   30.65 A^3/atom
Space-group type   Pm-3m (221)

Quantum ESPRESSO input file:
```
&SYSTEM
  ibrav = 0, nat = 5, ntyp = 3
/
ATOMIC_SPECIES
Y 88.91 Y.upf
As 74.92 As.upf
Cl 35.45 Cl.upf
CELL_PARAMETERS angstrom
5.351 0.000 0.000
0.000 5.351 0.000
0.000 0.000 5.351
ATOMIC_POSITIONS angstrom
Y 0.000 0.000 0.000
As 2.676 2.676 2.676
Cl 0.000 0.000 2.676
Cl 0.000 2.676 0.000
Cl 2.676 0.000 0.000
```

Run B
YAsCl3 | PBE-GGA | relaxed Values from VASP.

Total magnetization   1.30 μB/f.u.
V   27.61 A^3/atom
Space-group type   Pm-3m (221)

Quantum ESPRESSO input file:
```
&SYSTEM
  ibrav = 0, nat = 5, ntyp = 3
/
ATOMIC_SPECIES
Y 88.91 Y.upf
As 74.92 As.upf
Cl 35.45 Cl.upf
CELL_PARAMETERS angstrom
5.168 0.000 0.000
0.000 5.168 0.000
0.000 0.000 5.168
ATOMIC_POSITIONS angstrom
Y 0.000 0.000 0.000
As 2.584 2.584 2.584
Cl 0.000 2.584 2.584
Cl 2.584 0.000 2.584
Cl 2.584 2.584 0.000
```

Which is the most stable structure? run A is the most stable.

Run A
Zn2AsCl | PBE-GGA | relaxed Values from VASP.

Total magnetization   0.00 μB/f.u.
V   20.41 A^3/atom
Space-group type   C2/m (12)

Quantum ESPRESSO input file:
```
&SYSTEM
  ibrav = 0, nat = 8, ntyp = 3
/
ATOMIC_SPECIES
Zn 65.41 Zn.upf
As 74.92 As.upf
Cl 35.45 Cl.upf
CELL_PARAMETERS angstrom
7.358 0.000 0.000
0.000 7.227 0.000
-1.031 0.000 3.071
ATOMIC_POSITIONS angstrom
Zn 1.840 1.807 0.000
Zn 1.840 5.420 0.000
Zn 5.519 1.807 0.000
Zn 5.519 5.420 0.000
As 0.000 0.000 0.000
As 3.679 3.613 0.000
Cl 0.000 3.613 0.000
Cl 3.679 0.000 0.000
```

Run B
Zn2AsCl | PBE-GGA | relaxed Values from VASP.

Total magnetization   0.00 μB/f.u.
V   24.45 A^3/atom
Space-group type   I-42d (122)

Quantum ESPRESSO input file:
```
&SYSTEM
  ibrav = 0, nat = 16, ntyp = 3
/
ATOMIC_SPECIES
Zn 65.41 Zn.upf
As 74.92 As.upf
Cl 35.45 Cl.upf
CELL_PARAMETERS angstrom
5.722 0.000 0.000
0.000 5.722 0.000
0.000 0.000 11.947
ATOMIC_POSITIONS angstrom
Zn 1.198 1.431 1.493
Zn 1.431 4.060 4.480
Zn 1.431 4.524 10.454
Zn 1.663 1.431 7.467
Zn 4.060 4.292 7.467
Zn 4.292 1.198 10.454
Zn 4.292 1.663 4.480
Zn 4.524 4.292 1.493
As 0.000 0.000 0.000
As 0.000 2.861 2.987
As 2.861 0.000 8.960
As 2.861 2.861 5.974
Cl 0.000 0.000 5.974
Cl 0.000 2.861 8.960
Cl 2.861 0.000 2.987
Cl 2.861 2.861 0.000
```

Run C
Zn2AsCl | PBE-GGA | relaxed Values from VASP.

Total magnetization   0.00 μB/f.u.
V   20.21 A^3/atom
Space-group type   R-3m (166)

Quantum ESPRESSO input file:
```
&SYSTEM
  ibrav = 0, nat = 12, ntyp = 3
/
ATOMIC_SPECIES
Zn 65.41 Zn.upf
As 74.92 As.upf
Cl 35.45 Cl.upf
CELL_PARAMETERS angstrom
3.880 0.000 0.000
-1.940 3.360 0.000
0.000 0.000 18.606
ATOMIC_POSITIONS angstrom
Zn 0.000 0.000 4.336
Zn 0.000 0.000 14.271
Zn 0.000 2.240 8.069
Zn 0.000 2.240 16.740
Zn 1.940 1.120 1.866
Zn 1.940 1.120 10.538
As 0.000 0.000 9.303
As 0.000 2.240 3.101
As 1.940 1.120 15.505
Cl 0.000 0.000 0.000
Cl 0.000 2.240 12.404
Cl 1.940 1.120 6.202
```

Which is the most stable structure? run B is the most stable.

Run A
Zn2AsCl | PBE-GGA | relaxed Values from VASP.

Total magnetization   0.00 μB/f.u.
V   26.33 A^3/atom
Space-group type   Cm (8)

Quantum ESPRESSO input file:
```
&SYSTEM
  ibrav = 0, nat = 8, ntyp = 3
/
ATOMIC_SPECIES
Zn 65.41 Zn.upf
As 74.92 As.upf
Cl 35.45 Cl.upf
CELL_PARAMETERS angstrom
15.429 0.000 0.000
0.000 3.666 0.000
-0.559 0.000 3.724
ATOMIC_POSITIONS angstrom
Zn 0.000 0.000 0.000
Zn 1.949 1.833 2.699
Zn 7.714 1.833 0.000
Zn 9.664 0.000 2.699
As -0.266 1.833 1.853
As 7.449 0.000 1.853
Cl 3.277 0.000 3.326
Cl 10.992 1.833 3.326
```

Run B
Zn2AsCl | PBE-GGA | relaxed Values from VASP.

Total magnetization   0.00 μB/f.u.
V   22.42 A^3/atom
Space-group type   Amm2 (38)

Quantum ESPRESSO input file:
```
&SYSTEM
  ibrav = 0, nat = 8, ntyp = 3
/
ATOMIC_SPECIES
Zn 65.41 Zn.upf
As 74.92 As.upf
Cl 35.45 Cl.upf
CELL_PARAMETERS angstrom
5.354 0.000 0.000
0.000 4.488 0.000
0.000 0.000 7.463
ATOMIC_POSITIONS angstrom
Zn 0.000 0.000 0.000
Zn 0.000 2.244 3.731
Zn 2.677 0.000 2.317
Zn 2.677 2.244 6.049
As 0.000 0.000 2.552
As 0.000 2.244 6.283
Cl 2.677 0.000 7.235
Cl 2.677 2.244 3.503
```

Run C
Zn2AsCl | PBE-GGA | relaxed Values from VASP.

Total magnetization   0.00 μB/f.u.
V   20.51 A^3/atom
Space-group type   Cmmm (65)

Quantum ESPRESSO input file:
```
&SYSTEM
  ibrav = 0, nat = 8, ntyp = 3
/
ATOMIC_SPECIES
Zn 65.41 Zn.upf
As 74.92 As.upf
Cl 35.45 Cl.upf
CELL_PARAMETERS angstrom
3.815 0.000 0.000
0.000 5.917 0.000
0.000 0.000 7.269
ATOMIC_POSITIONS angstrom
Zn 0.000 0.000 1.674
Zn 0.000 0.000 5.595
Zn 1.908 2.959 1.674
Zn 1.908 2.959 5.595
As 0.000 2.959 0.000
As 1.908 0.000 0.000
Cl 0.000 2.959 3.635
Cl 1.908 0.000 3.635
```

Which is the most stable structure? run A is the most stable.

Run A
Zn2AsCl | PBE-GGA | relaxed Values from VASP.

Total magnetization   0.00 μB/f.u.
V   29.11 A^3/atom
Space-group type   P2/m (10)

Quantum ESPRESSO input file:
```
&SYSTEM
  ibrav = 0, nat = 4, ntyp = 3
/
ATOMIC_SPECIES
Zn 65.41 Zn.upf
As 74.92 As.upf
Cl 35.45 Cl.upf
CELL_PARAMETERS angstrom
5.218 0.000 0.000
0.000 4.061 0.000
-0.255 0.000 5.495
ATOMIC_POSITIONS angstrom
Zn -0.061 0.000 1.543
Zn 5.024 0.000 3.952
As 0.000 2.031 0.000
Cl 2.609 2.031 0.000
```

Run B
Zn2AsCl | PBE-GGA | relaxed Values from VASP.

Total magnetization   0.00 μB/f.u.
V   19.52 A^3/atom
Space-group type   C2/m (12)

Quantum ESPRESSO input file:
```
&SYSTEM
  ibrav = 0, nat = 8, ntyp = 3
/
ATOMIC_SPECIES
Zn 65.41 Zn.upf
As 74.92 As.upf
Cl 35.45 Cl.upf
CELL_PARAMETERS angstrom
12.566 0.000 0.000
0.000 2.845 0.000
-1.695 0.000 4.369
ATOMIC_POSITIONS angstrom
Zn 2.336 0.000 0.947
Zn 2.251 1.422 3.422
Zn 8.619 1.422 0.947
Zn 8.534 0.000 3.422
As 0.000 1.422 0.000
As 6.283 0.000 0.000
Cl -0.848 0.000 2.185
Cl 5.435 1.422 2.185
```

Which is the most stable structure? run A is the most stable.

Run A
Zn2AsCl | PBE-GGA | relaxed Values from VASP.

Total magnetization   0.00 μB/f.u.
V   18.81 A^3/atom
Space-group type   F-43m (216)

Quantum ESPRESSO input file:
```
&SYSTEM
  ibrav = 0, nat = 16, ntyp = 3
/
ATOMIC_SPECIES
Zn 65.41 Zn.upf
As 74.92 As.upf
Cl 35.45 Cl.upf
CELL_PARAMETERS angstrom
6.702 0.000 0.000
0.000 6.702 0.000
0.000 0.000 6.702
ATOMIC_POSITIONS angstrom
Zn 0.000 0.000 0.000
Zn 0.000 3.351 3.351
Zn 1.675 1.675 1.675
Zn 1.675 5.026 5.026
Zn 3.351 0.000 3.351
Zn 3.351 3.351 0.000
Zn 5.026 1.675 5.026
Zn 5.026 5.026 1.675
As 1.675 1.675 5.026
As 1.675 5.026 1.675
As 5.026 1.675 1.675
As 5.026 5.026 5.026
Cl 0.000 0.000 3.351
Cl 0.000 3.351 0.000
Cl 3.351 0.000 0.000
Cl 3.351 3.351 3.351
```

Run B
Zn2AsCl | PBE-GGA | relaxed Values from VASP.

Total magnetization   0.00 μB/f.u.
V   19.98 A^3/atom
Space-group type   Imm2 (44)

Quantum ESPRESSO input file:
```
&SYSTEM
  ibrav = 0, nat = 8, ntyp = 3
/
ATOMIC_SPECIES
Zn 65.41 Zn.upf
As 74.92 As.upf
Cl 35.45 Cl.upf
CELL_PARAMETERS angstrom
2.927 0.000 0.000
0.000 5.800 0.000
0.000 0.000 9.416
ATOMIC_POSITIONS angstrom
Zn 0.000 0.000 0.000
Zn 0.000 2.900 2.533
Zn 1.463 0.000 7.241
Zn 1.463 2.900 4.708
As 0.000 2.900 6.902
As 1.463 0.000 2.194
Cl 0.000 0.000 5.266
Cl 1.463 2.900 0.557
```

Which is the most stable structure? run B is the most stable.

Run A
Zn2AsCl | PBE-GGA | relaxed Values from VASP.

Total magnetization   0.00 μB/f.u.
V   21.94 A^3/atom
Space-group type   I-4m2 (119)

Quantum ESPRESSO input file:
```
&SYSTEM
  ibrav = 0, nat = 8, ntyp = 3
/
ATOMIC_SPECIES
Zn 65.41 Zn.upf
As 74.92 As.upf
Cl 35.45 Cl.upf
CELL_PARAMETERS angstrom
3.617 0.000 0.000
0.000 3.617 0.000
0.000 0.000 13.420
ATOMIC_POSITIONS angstrom
Zn 0.000 0.000 0.000
Zn 0.000 1.808 3.355
Zn 1.808 0.000 10.065
Zn 1.808 1.808 6.710
As 0.000 1.808 10.065
As 1.808 0.000 3.355
Cl 0.000 0.000 6.710
Cl 1.808 1.808 0.000
```

Run B
Zn2AsCl | PBE-GGA | relaxed Values from VASP.

Total magnetization   0.00 μB/f.u.
V   20.34 A^3/atom
Space-group type   P4mm (99)

Quantum ESPRESSO input file:
```
&SYSTEM
  ibrav = 0, nat = 4, ntyp = 3
/
ATOMIC_SPECIES
Zn 65.41 Zn.upf
As 74.92 As.upf
Cl 35.45 Cl.upf
CELL_PARAMETERS angstrom
2.987 0.000 0.000
0.000 2.987 0.000
0.000 0.000 9.117
ATOMIC_POSITIONS angstrom
Zn 0.000 0.000 0.000
Zn 1.494 1.494 1.953
As 0.000 0.000 3.924
Cl 1.494 1.494 7.589
```

Which is the most stable structure? run B is the most stable.

Run A
Zn2AsCl | PBE-GGA | relaxed Values from VASP.

Total magnetization   0.00 μB/f.u.
V   18.50 A^3/atom
Space-group type   Fm-3m (225)

Quantum ESPRESSO input file:
```
&SYSTEM
  ibrav = 0, nat = 16, ntyp = 3
/
ATOMIC_SPECIES
Zn 65.41 Zn.upf
As 74.92 As.upf
Cl 35.45 Cl.upf
CELL_PARAMETERS angstrom
6.664 0.000 0.000
0.000 6.664 0.000
0.000 0.000 6.664
ATOMIC_POSITIONS angstrom
Zn 1.666 1.666 1.666
Zn 1.666 1.666 4.998
Zn 1.666 4.998 1.666
Zn 1.666 4.998 4.998
Zn 4.998 1.666 1.666
Zn 4.998 1.666 4.998
Zn 4.998 4.998 1.666
Zn 4.998 4.998 4.998
As 0.000 0.000 0.000
As 0.000 3.332 3.332
As 3.332 0.000 3.332
As 3.332 3.332 0.000
Cl 0.000 0.000 3.332
Cl 0.000 3.332 0.000
Cl 3.332 0.000 0.000
Cl 3.332 3.332 3.332
```

Run B
Zn2AsCl | PBE-GGA | relaxed Values from VASP.

Total magnetization   0.00 μB/f.u.
V   18.86 A^3/atom
Space-group type   Pmmm (47)

Quantum ESPRESSO input file:
```
&SYSTEM
  ibrav = 0, nat = 4, ntyp = 3
/
ATOMIC_SPECIES
Zn 65.41 Zn.upf
As 74.92 As.upf
Cl 35.45 Cl.upf
CELL_PARAMETERS angstrom
2.937 0.000 0.000
0.000 4.734 0.000
0.000 0.000 5.427
ATOMIC_POSITIONS angstrom
Zn 0.000 0.000 0.000
Zn 1.468 2.367 0.000
As 0.000 2.367 2.713
Cl 1.468 0.000 2.713
```

Which is the most stable structure? run A is the most stable.

Run A
Zn2AsCl | PBE-GGA | relaxed Values from VASP.

Total magnetization   0.00 μB/f.u.
V   18.79 A^3/atom
Space-group type   P4/mmm (123)

Quantum ESPRESSO input file:
```
&SYSTEM
  ibrav = 0, nat = 4, ntyp = 3
/
ATOMIC_SPECIES
Zn 65.41 Zn.upf
As 74.92 As.upf
Cl 35.45 Cl.upf
CELL_PARAMETERS angstrom
3.266 0.000 0.000
0.000 3.266 0.000
0.000 0.000 7.046
ATOMIC_POSITIONS angstrom
Zn 0.000 0.000 1.576
Zn 0.000 0.000 5.470
As 1.633 1.633 0.000
Cl 1.633 1.633 3.523
```

Run B
Zn2AsCl | PBE-GGA | relaxed Values from VASP.

Total magnetization   0.00 μB/f.u.
V   23.43 A^3/atom
Space-group type   Immm (71)

Quantum ESPRESSO input file:
```
&SYSTEM
  ibrav = 0, nat = 8, ntyp = 3
/
ATOMIC_SPECIES
Zn 65.41 Zn.upf
As 74.92 As.upf
Cl 35.45 Cl.upf
CELL_PARAMETERS angstrom
3.574 0.000 0.000
0.000 7.236 0.000
0.000 0.000 7.248
ATOMIC_POSITIONS angstrom
Zn 0.000 0.000 1.730
Zn 0.000 0.000 5.518
Zn 1.787 3.618 1.894
Zn 1.787 3.618 5.354
As 0.000 3.618 3.624
As 1.787 0.000 0.000
Cl 0.000 3.618 0.000
Cl 1.787 0.000 3.624
```

Which is the most stable structure? run B is the most stable.